No. 1
The following is a DFT calculation (PBE-GGA) of a geometry-optimized In2Ge2Te structure.

Lattice parameters (Å, degrees): 4.999 4.999 10.427 90.00 90.00 90.00
Space group I4/mmm (No. 139)
Unique sites:
In 0.000 0.500 0.250 (multiplicity 4)
Ge 0.000 0.000 0.118 (multiplicity 4)
Te 0.000 0.000 0.500 (multiplicity 2)

## Properties
- Polymorph energy (0 for the lowest one): 108 meV/atom
- DOS at the Fermi energy: 2.87 states/eV/f.u.
- Raw total energy: -3.377 eV/atom

No. 2
The following is a DFT calculation (PBE-GGA) of a geometry-optimized HoAlGa structure.

Lattice parameters (Å, degrees): 3.345 3.345 11.111 90.00 90.00 90.00
Space group I4mm (No. 107)
Unique sites:
Ho 0.000 0.000 0.000 (multiplicity 2)
Al 0.000 0.000 0.311 (multiplicity 2)
Ga 0.000 0.000 0.684 (multiplicity 2)

## Properties
- DOS at the Fermi energy: 2.09 states/eV/f.u.
- Raw total energy: -4.100 eV/atom
- Calculated formation energy: -0.3172 eV/atom

No. 3
The following is a DFT calculation (PBE-GGA) of a geometry-optimized CsLi4Sn3I12 structure.

Lattice parameters (Å, degrees): 16.8648 16.8648 11.1009 90.00 90.00 120.00
Space group R32 (No. 155, hexagonal axes)
Unique sites:
Cs 0.0000 0.0000 0.0000 (multiplicity 3)
Li 0.0000 0.0000 0.5000 (multiplicity 3)
Li 0.0000 0.4290 0.5000 (multiplicity 9)
Sn 0.0000 0.5616 0.0000 (multiplicity 9)
I 0.0000 0.5924 0.5000 (multiplicity 9)
I 0.0000 0.8417 0.5000 (multiplicity 9)
I 0.0659 0.2383 0.1556 (multiplicity 18)

## Properties
- DOS at the Fermi energy: 11.62 states/eV/f.u.
- Raw total energy: -2.751 eV/atom

What is the raw total energy in the second record? -4.100 eV/atom